VFeI2O (PBE+U, optimized geometry); E above lowest polymorph = 75.8 meV per atom; total magnetization = 7.0 Bohr magnetons per cell; DOS at the Fermi energy = 3.05 states/eV/f.u.; space group = P4/mmm (123)
1.0
5.668 0.000 0.000
0.000 5.668 0.000
0.000 0.000 3.703
I V Fe O
2 1 1 1
direct
0.000 0.500 0.000
0.500 0.000 0.000
0.500 0.500 0.500
0.000 0.000 0.000
0.000 0.000 0.500